Run i
Below is MgVW3 after structural relaxation, with properties calculated at the GGA-PBE level.

The space group is Pm-3m (No. 221) and the conventional cell measures 4.536, 4.536 and 4.536 Å, with angles of 90.00, 90.00 and 90.00 degrees. The asymmetric unit holds Mg at (0.000, 0.000, 0.000), V at (0.500, 0.500, 0.500) and W at (0.000, 0.000, 0.500).

For the density of states at the Fermi level, the calculation gives 7.013 states/eV/cell.

***

Run ii
Below is MgVW3 after structural relaxation, with properties calculated at the GGA-PBE level.

The space group is Pm-3m (No. 221) and the conventional cell measures 4.589, 4.589 and 4.589 Å, with angles of 90.00, 90.00 and 90.00 degrees. The asymmetric unit holds Mg at (0.000, 0.000, 0.000), V at (0.500, 0.500, 0.500) and W at (0.000, 0.500, 0.500).

For the density of states at the Fermi level, the calculation gives 4.381 states/eV/cell.

***

In terms of stability, run ii leads; the second structure lies 1.030 eV/atom higher.

***

Run i
Below is Mg6VW after structural relaxation, with properties calculated at the GGA-PBE level.

The space group is Amm2 (No. 38) and the conventional cell measures 4.927, 5.793 and 10.884 Å, with angles of 90.00, 90.00 and 90.00 degrees. The asymmetric unit holds Mg at (0.000, 0.000, 0.000), Mg at (0.000, 0.000, 0.500), Mg at (0.000, 0.244, 0.267), Mg at (0.500, 0.250, 0.106), V at (0.500, 0.000, 0.853) and W at (0.500, 0.000, 0.357).

For the density of states at the Fermi level, the calculation gives 11.850 states/eV/cell.

***

Run ii
Below is Mg6VW after structural relaxation, with properties calculated at the GGA-PBE level.

The space group is Amm2 (No. 38) and the conventional cell measures 4.747, 5.943 and 10.950 Å, with angles of 90.00, 90.00 and 90.00 degrees. The asymmetric unit holds Mg at (0.000, 0.000, 0.000), Mg at (0.000, 0.239, 0.249), Mg at (0.500, 0.000, 0.843), Mg at (0.500, 0.242, 0.597), V at (0.000, 0.000, 0.476) and W at (0.500, 0.000, 0.365).

For the density of states at the Fermi level, the calculation gives 6.231 states/eV/cell.

***

In terms of stability, run ii leads; the second structure lies 0.083 eV/atom higher.

***

Run i
Below is MgV2Zn2 after structural relaxation, with properties calculated at the GGA-PBE level.

The space group is I4/mmm (No. 139) and the conventional cell measures 3.461, 3.461 and 13.418 Å, with angles of 90.00, 90.00 and 90.00 degrees. The asymmetric unit holds Mg at (0.000, 0.000, 0.000), V at (0.000, 0.500, 0.250) and Zn at (0.000, 0.000, 0.404).

For the density of states at the Fermi level, the calculation gives 8.137 states/eV/cell.

***

Run ii
Below is MgV2Zn2 after structural relaxation, with properties calculated at the GGA-PBE level.

The space group is P4/mbm (No. 127) and the conventional cell measures 7.499, 7.499 and 2.833 Å, with angles of 90.00, 90.00 and 90.00 degrees. The asymmetric unit holds Mg at (0.000, 0.000, 0.000), V at (0.101, 0.399, 0.000) and Zn at (0.193, 0.693, 0.500).

For the density of states at the Fermi level, the calculation gives 4.646 states/eV/cell.

***

Run iii
Below is MgV2Zn2 after structural relaxation, with properties calculated at the GGA-PBE level.

The space group is P4/mbm (No. 127) and the conventional cell measures 7.131, 7.131 and 3.043 Å, with angles of 90.00, 90.00 and 90.00 degrees. The asymmetric unit holds Mg at (0.000, 0.000, 0.000), V at (0.171, 0.329, 0.500) and Zn at (0.126, 0.626, 0.000).

For the density of states at the Fermi level, the calculation gives 10.113 states/eV/cell.

***

In terms of stability, run ii leads; the second structure lies 0.056 eV/atom higher.

***

Run i
Below is MgW3 after structural relaxation, with properties calculated at the GGA-PBE level.

The space group is P6_3/mmc (No. 194) and the conventional cell measures 5.7889, 5.7889 and 4.6662 Å, with angles of 90.00, 90.00 and 120.00 degrees. The asymmetric unit holds Mg at (0.3333, 0.6667, 0.2500) and W at (0.1544, 0.3089, 0.7500).

For the density of states at the Fermi level, the calculation gives 5.789 states/eV/cell.

***

Run ii
Below is MgW3 after structural relaxation, with properties calculated at the GGA-PBE level.

The space group is Pmmn (No. 59, origin choice 2) and the conventional cell measures 4.620, 5.562 and 5.169 Å, with angles of 90.00, 90.00 and 90.00 degrees. The asymmetric unit holds Mg at (0.250, 0.250, 0.152), W at (0.250, 0.016, 0.649) and W at (0.250, 0.750, 0.161).

For the density of states at the Fermi level, the calculation gives 5.977 states/eV/cell.

***

Run iii
Below is MgW3 after structural relaxation, with properties calculated at the GGA-PBE level.

The space group is Pmmn (No. 59, origin choice 2) and the conventional cell measures 5.501, 8.970 and 2.702 Å, with angles of 90.00, 90.00 and 90.00 degrees. The asymmetric unit holds Mg at (0.250, 0.250, 0.057), W at (0.000, 0.000, 0.500) and W at (0.250, 0.750, 0.148).

For the density of states at the Fermi level, the calculation gives 5.004 states/eV/cell.

***

Run iv
Below is MgW3 after structural relaxation, with properties calculated at the GGA-PBE level.

The space group is Pm-3m (No. 221) and the conventional cell measures 4.035, 4.035 and 4.035 Å, with angles of 90.00, 90.00 and 90.00 degrees. The asymmetric unit holds Mg at (0.000, 0.000, 0.000) and W at (0.000, 0.500, 0.500).

For the density of states at the Fermi level, the calculation gives 3.664 states/eV/cell.

***

In terms of stability, run iii leads; the second structure lies 0.035 eV/atom higher.

***

Run i
Below is MgW3 after structural relaxation, with properties calculated at the GGA-PBE level.

The space group is Immm (No. 71) and the conventional cell measures 3.207, 4.555 and 9.068 Å, with angles of 90.00, 90.00 and 90.00 degrees. The asymmetric unit holds Mg at (0.000, 0.000, 0.000), W at (0.000, 0.000, 0.500) and W at (0.000, 0.500, 0.235).

For the density of states at the Fermi level, the calculation gives 4.443 states/eV/cell.

***

Run ii
Below is MgW3 after structural relaxation, with properties calculated at the GGA-PBE level.

The space group is I4/mmm (No. 139) and the conventional cell measures 3.997, 3.997 and 16.462 Å, with angles of 90.00, 90.00 and 90.00 degrees. The asymmetric unit holds Mg at (0.000, 0.000, 0.125), W at (0.000, 0.000, 0.374), W at (0.000, 0.500, 0.000) and W at (0.000, 0.500, 0.250).

For the density of states at the Fermi level, the calculation gives 6.579 states/eV/cell.

***

Run iii
Below is MgW3 after structural relaxation, with properties calculated at the GGA-PBE level.

The space group is P2/m (No. 10) and the conventional cell measures 2.722, 4.532 and 5.404 Å, with angles of 90.00, 99.82 and 90.00 degrees. The asymmetric unit holds Mg at (0.000, 0.000, 0.000), W at (0.258, 0.500, 0.746) and W at (0.500, 0.000, 0.500).

For the density of states at the Fermi level, the calculation gives 1.797 states/eV/cell.

***

In terms of stability, run iii leads; the second structure lies 0.083 eV/atom higher.

***

Run i
Below is MgW after structural relaxation, with properties calculated at the GGA-PBE level.

The space group is Pmma (No. 51) and the conventional cell measures 4.673, 2.768 and 5.400 Å, with angles of 90.00, 90.00 and 90.00 degrees. The asymmetric unit holds Mg at (0.250, 0.000, 0.139) and W at (0.250, 0.500, 0.619).

For the density of states at the Fermi level, the calculation gives 2.392 states/eV/cell.

***

Run ii
Below is MgW after structural relaxation, with properties calculated at the GGA-PBE level.

The space group is P6_3/mmc (No. 194) and the conventional cell measures 4.6231, 4.6231 and 5.2263 Å, with angles of 90.00, 90.00 and 120.00 degrees. The asymmetric unit holds Mg at (0.3333, 0.6667, 0.2500) and W at (0.3333, 0.6667, 0.7500).

For the density of states at the Fermi level, the calculation gives 7.232 states/eV/cell.

***

Run iii
Below is MgW after structural relaxation, with properties calculated at the GGA-PBE level.

The space group is Pm-3m (No. 221) and the conventional cell measures 3.234, 3.234 and 3.234 Å, with angles of 90.00, 90.00 and 90.00 degrees. The asymmetric unit holds Mg at (0.000, 0.000, 0.000) and W at (0.500, 0.500, 0.500).

For the density of states at the Fermi level, the calculation gives 1.927 states/eV/cell.

***

Run iv
Below is MgW after structural relaxation, with properties calculated at the GGA-PBE level.

The space group is P4/nmm (No. 129, origin choice 2) and the conventional cell measures 3.312, 3.312 and 6.754 Å, with angles of 90.00, 90.00 and 90.00 degrees. The asymmetric unit holds Mg at (0.250, 0.250, 0.140) and W at (0.250, 0.250, 0.587).

For the density of states at the Fermi level, the calculation gives 2.987 states/eV/cell.

***

In terms of stability, run iv leads; the second structure lies 0.124 eV/atom higher.

***

Run i
Below is MgW after structural relaxation, with properties calculated at the GGA-PBE level.

The space group is Cmcm (No. 63) and the conventional cell measures 3.202, 15.224 and 3.290 Å, with angles of 90.00, 90.00 and 90.00 degrees. The asymmetric unit holds Mg at (0.000, 0.086, 0.250) and W at (0.000, 0.291, 0.250).

For the density of states at the Fermi level, the calculation gives 6.885 states/eV/cell.

***

Run ii
Below is MgW after structural relaxation, with properties calculated at the GGA-PBE level.

The space group is R-3m (No. 166, hexagonal axes) and the conventional cell measures 2.8482, 2.8482 and 14.7450 Å, with angles of 90.00, 90.00 and 120.00 degrees. The asymmetric unit holds Mg at (0.0000, 0.0000, 0.0000) and W at (0.0000, 0.0000, 0.5000).

For the density of states at the Fermi level, the calculation gives 4.396 states/eV/cell.

***

Run iii
Below is MgW after structural relaxation, with properties calculated at the GGA-PBE level.

The space group is P4/nmm (No. 129, origin choice 2) and the conventional cell measures 2.739, 2.739 and 9.459 Å, with angles of 90.00, 90.00 and 90.00 degrees. The asymmetric unit holds Mg at (0.250, 0.250, 0.139) and W at (0.250, 0.250, 0.622).

For the density of states at the Fermi level, the calculation gives 1.685 states/eV/cell.

***

In terms of stability, run iii leads; the second structure lies 0.010 eV/atom higher.

***

Run i
Below is MgW after structural relaxation, with properties calculated at the GGA-PBE level.

The space group is P4/mmm (No. 123) and the conventional cell measures 2.716, 2.716 and 4.653 Å, with angles of 90.00, 90.00 and 90.00 degrees. The asymmetric unit holds Mg at (0.000, 0.000, 0.000) and W at (0.500, 0.500, 0.500).

For the density of states at the Fermi level, the calculation gives 0.656 states/eV/cell.

***

Run ii
Below is MgW after structural relaxation, with properties calculated at the GGA-PBE level.

The space group is P6_3/mmc (No. 194) and the conventional cell measures 4.7027, 4.7027 and 4.7660 Å, with angles of 90.00, 90.00 and 120.00 degrees. The asymmetric unit holds Mg at (0.3333, 0.6667, 0.2500) and W at (0.0000, 0.0000, 0.0000).

For the density of states at the Fermi level, the calculation gives 4.415 states/eV/cell.

***

In terms of stability, run i leads; the second structure lies 0.944 eV/atom higher.

***

Run i
Below is MgW after structural relaxation, with properties calculated at the GGA-PBE level.

The space group is P4/m (No. 83) and the conventional cell measures 8.484, 8.484 and 4.601 Å, with angles of 90.00, 90.00 and 90.00 degrees. The asymmetric unit holds Mg at (0.059, 0.660, 0.000), Mg at (0.118, 0.233, 0.500), W at (0.283, 0.555, 0.500) and W at (0.304, 0.388, 0.000).

For the density of states at the Fermi level, the calculation gives 8.151 states/eV/cell.

***

Run ii
Below is MgW after structural relaxation, with properties calculated at the GGA-PBE level.

The space group is Cm (No. 8) and the conventional cell measures 11.268, 2.736 and 6.954 Å, with angles of 90.00, 102.16 and 90.00 degrees. The asymmetric unit holds Mg at (0.000, 0.000, 0.000), Mg at (0.057, 0.000, 0.634), Mg at (0.398, 0.000, 0.299), W at (0.174, 0.500, 0.331), W at (0.231, 0.500, 0.978) and W at (0.315, 0.000, 0.665).

For the density of states at the Fermi level, the calculation gives 7.002 states/eV/cell.

***

Run iii
Below is MgW after structural relaxation, with properties calculated at the GGA-PBE level.

The space group is F-43m (No. 216) and the conventional cell measures 6.500, 6.500 and 6.500 Å, with angles of 90.00, 90.00 and 90.00 degrees. The asymmetric unit holds Mg at (0.000, 0.000, 0.000) and W at (0.250, 0.250, 0.250).

For the density of states at the Fermi level, the calculation gives 3.971 states/eV/cell.

***

In terms of stability, run ii leads; the second structure lies 0.026 eV/atom higher.